[1]
Computed, not measured: AgRhW2 after structural relaxation at the PBE-GGA level of DFT.

Cell and atoms, written as POSCAR:
```
AgRhW2
1.0
2.747 0.000 0.000
0.000 4.154 0.000
0.000 0.000 5.508
Ag Rh W
1 1 2
Direct
0.000 0.000 0.000 Ag
0.000 0.000 0.500 Rh
0.500 0.500 0.261 W
0.500 0.500 0.739 W
```

Properties
The calculated formation energy is 0.315 eV per atom. Its calculated total energy is -0.6404 Ry per atom. The crystal system is orthorhombic. For the energy relative to the lowest polymorph listed for this composition, the calculation gives 101 meV/atom.



[2]
Computed, not measured: Ag2RhW after structural relaxation at the PBE-GGA level of DFT.

Cell and atoms, written as POSCAR:
```
Ag2RhW
1.0
2.818 0.000 0.000
0.000 4.659 0.000
0.000 0.000 5.024
Ag Rh W
2 1 1
Direct
0.000 0.000 0.000 Ag
0.500 0.500 0.000 Ag
0.000 0.500 0.500 Rh
0.500 0.000 0.500 W
```

Properties
The calculated formation energy is 0.475 eV per atom. Its calculated total energy is -0.4430 Ry per atom. The crystal system is orthorhombic. For the energy relative to the lowest polymorph listed for this composition, the calculation gives 327 meV/atom.



[3]
Computed, not measured: AgRh4W after structural relaxation at the PBE-GGA level of DFT.

Cell and atoms, written as POSCAR:
```
AgRh4W
1.0
0.000 3.595 3.595
3.595 0.000 3.595
3.595 3.595 0.000
Ag Rh W
1 4 1
Direct
0.000 0.000 0.000 Ag
0.124 0.625 0.625 Rh
0.625 0.124 0.625 Rh
0.625 0.625 0.124 Rh
0.625 0.625 0.625 Rh
0.250 0.250 0.250 W
```

Properties
The calculated formation energy is 0.277 eV per atom. Its calculated total energy is -0.5335 Ry per atom. The crystal system is cubic.



[4]
Computed, not measured: AgRhW2 after structural relaxation at the PBE-GGA level of DFT.

Cell and atoms, written as POSCAR:
```
AgRhW2
1.0
3.883 0.000 0.000
0.000 3.883 0.000
0.000 0.000 4.166
Ag Rh W
1 1 2
Direct
0.000 0.000 0.000 Ag
0.500 0.500 0.000 Rh
0.000 0.500 0.500 W
0.500 0.000 0.500 W
```

Properties
The calculated formation energy is 0.389 eV per atom. Its calculated total energy is -0.6349 Ry per atom. The crystal system is tetragonal. For the energy relative to the lowest polymorph listed for this composition, the calculation gives 176 meV/atom.



[5]
Computed, not measured: AgRhW2 after structural relaxation at the PBE-GGA level of DFT.

Cell and atoms, written as POSCAR:
```
AgRhW2
1.0
2.752 0.000 0.000
0.000 3.997 0.000
0.000 0.000 5.783
Ag Rh W
1 1 2
Direct
0.000 0.000 0.000 Ag
0.500 0.500 0.260 Rh
0.000 0.000 0.485 W
0.500 0.500 0.740 W
```

Properties
The calculated formation energy is 0.312 eV per atom. Its calculated total energy is -0.6406 Ry per atom. The crystal system is orthorhombic. For the energy relative to the lowest polymorph listed for this composition, the calculation gives 98 meV/atom.



[6]
Computed, not measured: AgRhW after structural relaxation at the PBE-GGA level of DFT.

Cell and atoms, written as POSCAR:
```
AgRhW
1.0
-1.408 1.408 6.045
1.408 -1.408 6.045
1.408 1.408 -6.045
Ag Rh W
1 1 1
Direct
0.000 0.000 0.000 Ag
0.323 0.323 0.000 Rh
0.678 0.678 0.000 W
```

Properties
The calculated formation energy is 0.229 eV per atom. Its calculated total energy is -0.5505 Ry per atom. The crystal system is tetragonal. For the energy relative to the lowest polymorph listed for this composition, the calculation gives 57 meV/atom.



[7]
Computed, not measured: AgRhW2 after structural relaxation at the PBE-GGA level of DFT.

Cell and atoms, written as POSCAR:
```
AgRhW2
1.0
2.740 -4.167 0.000
2.740 4.167 0.000
0.000 0.000 2.747
Ag Rh W
1 1 2
Direct
0.000 0.000 0.000 Ag
0.500 0.500 0.000 Rh
0.000 0.500 0.500 W
0.500 0.000 0.500 W
```

Properties
The calculated formation energy is 0.352 eV per atom. Its calculated total energy is -0.6376 Ry per atom. The crystal system is orthorhombic. For the energy relative to the lowest polymorph listed for this composition, the calculation gives 139 meV/atom.



[8]
Computed, not measured: Ag2RhW after structural relaxation at the PBE-GGA level of DFT.

Cell and atoms, written as POSCAR:
```
Ag2RhW
1.0
2.620 -4.505 0.000
2.620 4.505 0.000
0.000 0.000 2.762
Ag Rh W
2 1 1
Direct
0.000 0.500 0.000 Ag
0.500 0.000 0.000 Ag
0.000 0.000 0.500 Rh
0.500 0.500 0.500 W
```

Properties
The calculated formation energy is 0.526 eV per atom. Its calculated total energy is -0.4392 Ry per atom. The crystal system is orthorhombic. For the energy relative to the lowest polymorph listed for this composition, the calculation gives 378 meV/atom.



[9]
Computed, not measured: AgRh2W after structural relaxation at the PBE-GGA level of DFT.

Cell and atoms, written as POSCAR:
```
AgRh2W
1.0
4.537 -1.386 0.000
4.537 1.386 0.000
-0.844 0.000 4.893
Ag Rh W
1 2 1
Direct
0.000 0.000 0.000 Ag
0.244 0.244 0.736 Rh
0.756 0.756 0.264 Rh
0.500 0.500 0.500 W
```

Properties
The calculated formation energy is 0.185 eV per atom. Its calculated total energy is -0.5470 Ry per atom. The crystal system is monoclinic. For the energy relative to the lowest polymorph listed for this composition, the calculation gives 223 meV/atom.



[10]
Computed, not measured: AgRh2W after structural relaxation at the PBE-GGA level of DFT.

Cell and atoms, written as POSCAR:
```
AgRh2W
1.0
4.702 -1.397 0.000
4.702 1.397 0.000
-0.902 0.000 4.680
Ag Rh W
1 2 1
Direct
0.000 0.000 0.000 Ag
0.495 0.495 0.504 Rh
0.755 0.755 0.225 Rh
0.238 0.238 0.705 W
```

Properties
The calculated formation energy is 0.179 eV per atom. Its calculated total energy is -0.5474 Ry per atom. The crystal system is monoclinic. For the energy relative to the lowest polymorph listed for this composition, the calculation gives 218 meV/atom.



[11]
Computed, not measured: AgRhW2 after structural relaxation at the PBE-GGA level of DFT.

Cell and atoms, written as POSCAR:
```
AgRhW2
1.0
4.620 -1.376 0.000
4.620 1.376 0.000
-0.768 0.000 4.980
Ag Rh W
1 1 2
Direct
0.000 0.000 0.000 Ag
0.244 0.244 0.742 Rh
0.507 0.507 0.512 W
0.755 0.755 0.248 W
```

Properties
The calculated formation energy is 0.335 eV per atom. Its calculated total energy is -0.6388 Ry per atom. The crystal system is monoclinic. For the energy relative to the lowest polymorph listed for this composition, the calculation gives 122 meV/atom.



[12]
Computed, not measured: Ag2RhW after structural relaxation at the PBE-GGA level of DFT.

Cell and atoms, written as POSCAR:
```
Ag2RhW
1.0
0.000 3.181 3.181
3.181 0.000 3.181
3.181 3.181 0.000
Ag Rh W
2 1 1
Direct
0.250 0.250 0.250 Ag
0.750 0.750 0.750 Ag
0.000 0.000 0.000 Rh
0.500 0.500 0.500 W
```

Properties
The calculated formation energy is 0.765 eV per atom. Its calculated total energy is -0.4216 Ry per atom. The crystal system is cubic. For the energy relative to the lowest polymorph listed for this composition, the calculation gives 617 meV/atom.



Which of these has the lowest calculated formation energy?
number 10



Which value of calculated total energy does entry 9 give?
-0.5470 Ry per atom



What did the seventh record say?
Computed, not measured: AgRhW2 after structural relaxation at the PBE-GGA level of DFT.

Cell and atoms, written as POSCAR:
```
AgRhW2
1.0
2.740 -4.167 0.000
2.740 4.167 0.000
0.000 0.000 2.747
Ag Rh W
1 1 2
Direct
0.000 0.000 0.000 Ag
0.500 0.500 0.000 Rh
0.000 0.500 0.500 W
0.500 0.000 0.500 W
```

Properties
The calculated formation energy is 0.352 eV per atom. Its calculated total energy is -0.6376 Ry per atom. The crystal system is orthorhombic. For the energy relative to the lowest polymorph listed for this composition, the calculation gives 139 meV/atom.



What is the calculated total energy in the third record?
-0.5335 Ry per atom